1.
The following is a DFT calculation (PBE) of a relaxed NdYHo3 crystal.

It has space group P2_1/m (No. 11), with a = 6.2915 Å, b = 5.6770 Å, c = 9.6276 Å, α = 90.00°, β = 108.96° and γ = 90.00°. The inequivalent atoms are Nd at (0.1362, 0.2500, 0.1010), Y at (0.2645, 0.7500, 0.6977), Ho at (0.0709, 0.7500, 0.3034), Ho at (0.3329, 0.2500, 0.5005) and Ho at (0.4683, 0.7500, 0.1018).

As for the formation enthalpy at 0 K: 13.2 meV/atom.

2.
The following is a DFT calculation (PBE) of a relaxed Li2GeBSe4 crystal.

It has space group I-4 (No. 82), with a = 5.8283 Å, b = 5.8283 Å, c = 10.4678 Å, α = 90.00°, β = 90.00° and γ = 90.00°. The inequivalent atoms are Li at (0.0000, 0.0000, 0.0000), Li at (0.0000, 0.5000, 0.2500), Ge at (0.0000, 0.5000, 0.7500), B at (0.0000, 0.0000, 0.5000) and Se at (0.2045, 0.2177, 0.3906).

The uncorrected formation energy is -0.526 eV per atom.

no.,raw total energy (eV/atom),N(E_F) (states/eV/atom)
1,-4.980,1.728
2,-4.158,0.528